(1)
## DyHoTlZn (PBE)

Data for an optimized crystal structure of DyHoTlZn.

The structure in extended XYZ format:
```
4
Lattice="3.658 0.000 0.000 0.000 3.658 0.000 0.000 0.000 7.405" Properties=species:S:1:pos:R:3 pbc="T T T"
Dy 0.000 0.000 0.000
Ho 0.000 0.000 4.019
Tl 1.829 1.829 2.021
Zn 1.829 1.829 5.696
```

Properties
* energy above the most stable polymorph in this dataset: 0 meV/atom
* total DFT energy (no corrections): -3.553 eV/atom
* space-group type: P4mm (99)

=====

(2)
## Hg2BCl (PBE)

Data for an optimized crystal structure of Hg2BCl.

The structure in extended XYZ format:
```
16
Lattice="7.095 0.000 0.000 0.000 7.095 0.000 0.000 0.000 7.095" Properties=species:S:1:pos:R:3 pbc="T T T"
Hg 1.774 1.774 1.774
Hg 1.774 1.774 5.321
Hg 1.774 5.321 1.774
Hg 1.774 5.321 5.321
Hg 5.321 1.774 1.774
Hg 5.321 1.774 5.321
Hg 5.321 5.321 1.774
Hg 5.321 5.321 5.321
B 0.000 0.000 0.000
B 0.000 3.548 3.548
B 3.548 0.000 3.548
B 3.548 3.548 0.000
Cl 0.000 0.000 3.548
Cl 0.000 3.548 0.000
Cl 3.548 0.000 0.000
Cl 3.548 3.548 3.548
```

Properties
* energy above the most stable polymorph in this dataset: 636 meV/atom
* total DFT energy (no corrections): -1.270 eV/atom
* space-group type: Fm-3m (225)

=====

(3)
## Tb3NdTc (PBE)

Data for an optimized crystal structure of Tb3NdTc.

The structure in extended XYZ format:
```
5
Lattice="5.413 0.000 0.000 0.000 5.413 0.000 0.000 0.000 5.413" Properties=species:S:1:pos:R:3 pbc="T T T"
Tb 0.000 0.000 2.706
Tb 0.000 2.706 0.000
Tb 2.706 0.000 0.000
Nd 2.706 2.706 2.706
Tc 0.000 0.000 0.000
```

Properties
* energy above the most stable polymorph in this dataset: 176 meV/atom
* total DFT energy (no corrections): -5.672 eV/atom
* space-group type: Pm-3m (221)

=====

(4)
## TlRe2Cl (PBE)

Data for an optimized crystal structure of TlRe2Cl.

The structure in extended XYZ format:
```
8
Lattice="5.435 0.000 0.000 0.000 10.449 0.000 -1.885 0.000 2.613" Properties=species:S:1:pos:R:3 pbc="T T T"
Tl 0.000 0.000 0.000
Tl 2.717 5.225 0.000
Re 0.416 2.612 1.307
Re 0.416 7.837 1.307
Re 3.134 2.612 1.307
Re 3.134 7.837 1.307
Cl 0.000 5.225 0.000
Cl 2.717 0.000 0.000
```

Properties
* energy above the most stable polymorph in this dataset: 946 meV/atom
* total DFT energy (no corrections): -6.111 eV/atom
* space-group type: C2/m (12)

=====

(5)
## CdRuRh2 (PBE)

Data for an optimized crystal structure of CdRuRh2.

The structure in extended XYZ format:
```
4
Lattice="2.792 0.000 0.000 0.000 2.792 0.000 0.000 0.000 7.923" Properties=species:S:1:pos:R:3 pbc="T T T"
Cd 0.000 0.000 0.000
Ru 1.396 1.396 5.750
Rh 0.000 0.000 3.996
Rh 1.396 1.396 2.110
```

Properties
* total DFT energy (no corrections): -6.094 eV/atom
* space-group type: P4mm (99)

=====

(6)
## CaScSnPd (PBE)

Data for an optimized crystal structure of CaScSnPd.

The structure in extended XYZ format:
```
16
Lattice="7.108 0.000 0.000 0.000 7.108 0.000 0.000 0.000 7.108" Properties=species:S:1:pos:R:3 pbc="T T T"
Ca 0.000 0.000 0.000
Ca 0.000 3.554 3.554
Ca 3.554 0.000 3.554
Ca 3.554 3.554 0.000
Sc 0.000 0.000 3.554
Sc 0.000 3.554 0.000
Sc 3.554 0.000 0.000
Sc 3.554 3.554 3.554
Sn 1.777 1.777 1.777
Sn 1.777 5.331 5.331
Sn 5.331 1.777 5.331
Sn 5.331 5.331 1.777
Pd 1.777 1.777 5.331
Pd 1.777 5.331 1.777
Pd 5.331 1.777 1.777
Pd 5.331 5.331 5.331
```

Properties
* total DFT energy (no corrections): -5.023 eV/atom
* space-group type: F-43m (216)